11
Lattice="5.913 0.000 0.000 -2.395 5.856 0.000 -0.099 -1.164 9.467" Properties=species:S:1:pos:R:3 comment="GGA-PBE TiS8Br2, optimized geometry" raw_formation_energy_ev_per_atom=-0.148 e_tot_ev_per_atom=-4.171 magnetic_moment_mub_per_cell=0.00 pbc="T T T"
Ti 0.000 0.000 0.000
S -0.540 1.030 2.165
S -0.070 -0.348 6.757
S -0.568 1.390 8.915
S 2.317 0.451 0.629
S 1.101 4.241 8.838
S 3.987 3.302 0.553
S 3.488 5.039 2.710
S 3.959 3.662 7.302
Br 1.780 0.855 6.182
Br 1.639 3.837 3.286